A plane-wave DFT calculation with PBE was carried out for a relaxed structure of Mn2NiMo2.

Unit cell a=7.864 b=7.864 c=7.864 alpha=157.90 beta=157.90 gamma=31.45
Atoms (fractional coordinates):
Ni  0.000  0.000  0.000
Mn  0.750  0.250  0.500
Mo  0.606  0.606  0.000
Mn  0.250  0.750  0.500
Mo  0.394  0.394  0.000

Results
**Crystal system**: tetragonal
**SG**: I4/mmm

A plane-wave DFT calculation with PBE was carried out for a relaxed structure of MnNiMo.

Unit cell a=4.616 b=4.616 c=4.616 alpha=140.65 beta=140.65 gamma=56.86
Site moments in Bohr magnetons follow the coordinates.
Atoms (fractional coordinates):
Mn  0.001  0.001  0.000  2.33
Ni  0.664  0.664  0.000  0.17
Mo  0.336  0.336  0.000  -0.54

Results
**Crystal system**: tetragonal
**SG**: I4mm

A plane-wave DFT calculation with PBE was carried out for a relaxed structure of MnNiMo.

Unit cell a=6.066 b=6.064 c=2.583 alpha=77.73 beta=77.68 gamma=24.59
Site moments in Bohr magnetons follow the coordinates.
Atoms (fractional coordinates):
Ni  0.661  0.661  0.339  0.09
Mo  0.330  0.330  0.670  -0.15
Mn  0.009  0.009  0.991  2.15

Results
**Crystal system**: orthorhombic
**SG**: Fmm2

no.,DFT total energy (eV per atom),energy relative to the elements (eV/atom),energy relative to the lowest polymorph listed for this composition (eV per atom)
1,-8.63,0.5224,0.251
2,-8.47,0.1247,0.059
3,-8.53,0.0652,0.000